Entry 1:
## LiAlSb (PBE)

Data for a relaxed structure of LiAlSb.

- Formation energy without anion corrections: 0.09 eV per atom

Cell: 3.0721 6.1884 14.4402 Å, 90.00 90.00 90.00°
Space group Fmm2 (No. 42)
One atom of each set of equivalent atoms:
1 Li 0.0000 0.0000 0.0000 [4 per cell]
2 Al 0.0000 0.0000 0.6586 [4 per cell]
3 Sb 0.0000 0.0000 0.3308 [4 per cell]

Entry 2:
## Li2AlSb (PBE)

Data for a relaxed structure of Li2AlSb.

- Formation energy without anion corrections: -0.12 eV per atom

Cell: 6.9123 6.9123 6.9123 Å, 90.00 90.00 90.00°
Space group F-43m (No. 216)
One atom of each set of equivalent atoms:
1 Li 0.0000 0.0000 0.0000 [4 per cell]
2 Li 0.2500 0.2500 0.2500 [4 per cell]
3 Al 0.2500 0.2500 0.7500 [4 per cell]
4 Sb 0.0000 0.0000 0.5000 [4 per cell]

Entry 3:
## LiAlSb2 (PBE)

Data for a relaxed structure of LiAlSb2.

- Formation energy without anion corrections: 0.11 eV per atom

Cell: 7.2275 7.2275 7.2275 Å, 90.00 90.00 90.00°
Space group F-43m (No. 216)
One atom of each set of equivalent atoms:
1 Li 0.0000 0.0000 0.0000 [4 per cell]
2 Al 0.2500 0.2500 0.7500 [4 per cell]
3 Sb 0.0000 0.0000 0.5000 [4 per cell]
4 Sb 0.2500 0.2500 0.2500 [4 per cell]

Number 1: DOS at the Fermi energy 5.1 states/eV per cell. Number 2: DOS at the Fermi energy 10.2 states/eV per cell. Number 3: DOS at the Fermi energy 9.3 states/eV per cell.